SrCr4Pd3O12: relaxed, GGA+U.

Symmetry: Im-3 (204)
DFT total energy (eV per atom): -6.735

Lattice parameters (Å, degrees): 6.5644 6.5644 6.5644 109.47 109.47 109.47
Sites, in units of the cell vectors:
Sr  0.0000  0.0000  0.0000
Cr  0.0000  0.0000  0.5000
Cr  0.0000  0.5000  0.0000
Cr  0.5000  0.0000  0.0000
Cr  0.5000  0.5000  0.5000
Pd  0.0000  0.5000  0.5000
Pd  0.5000  0.0000  0.5000
Pd  0.5000  0.5000  0.0000
O  0.1242  0.8179  0.3063
O  0.1821  0.3063  0.4884
O  0.1821  0.6937  0.8758
O  0.3063  0.1242  0.8179
O  0.3063  0.4884  0.1821
O  0.4884  0.1821  0.3063
O  0.5116  0.8179  0.6937
O  0.6937  0.5116  0.8179
O  0.6937  0.8758  0.1821
O  0.8179  0.3063  0.1242
O  0.8179  0.6937  0.5116
O  0.8758  0.1821  0.6937